Here is a crystal of CdRhW2 relaxed with PBEsol from Alexandria via LeMat-Bulk. Energies are from meta-GGA SCAN.

a = 4.4754 Å, b = 4.4754 Å, c = 4.4754 Å
α = 60.00°, β = 60.00°, γ = 60.00°
With the nearest neighbours (Å) after each atom.
Fractional positions:
Cd (0.0000, 0.0000, 0.0000)  4 W 2.74, 4 Rh 2.74
Rh (0.2500, 0.2500, 0.2500)  4 W 2.74, 4 Cd 2.74
W (0.5000, 0.5000, 0.5000)  4 Rh 2.74, 4 W 2.74
W (0.7500, 0.7500, 0.7500)  4 W 2.74, 4 Cd 2.74

size of the total moment: 0.00 μB per formula unit
energy relative to the elements: 41.4 kJ/mol of atoms



Here is a crystal of ErSn3 relaxed with PBEsol from Alexandria via LeMat-Bulk. Energies are from meta-GGA SCAN.

a = 4.6132 Å, b = 4.6132 Å, c = 4.6132 Å
α = 90.00°, β = 90.00°, γ = 90.00°
With the nearest neighbours (Å) after each atom.
Fractional positions:
Er (0.0000, 0.0000, 0.0000)  12 Sn 3.26
Sn (0.0000, 0.5000, 0.5000)  8 Sn 3.26, 4 Er 3.26
Sn (0.5000, 0.0000, 0.5000)  8 Sn 3.26, 4 Er 3.26
Sn (0.5000, 0.5000, 0.0000)  8 Sn 3.26, 4 Er 3.26

size of the total moment: 0.00 μB per formula unit
energy relative to the elements: -40.0 kJ/mol of atoms



Here is a crystal of RbCrSbI2 relaxed with PBEsol from Alexandria via LeMat-Bulk. Energies are from meta-GGA SCAN.

a = 5.7202 Å, b = 5.7202 Å, c = 5.1074 Å
α = 90.00°, β = 90.00°, γ = 90.00°
With the nearest neighbours (Å) after each atom.
Fractional positions:
Rb (0.0000, 0.0000, 0.0000)  8 I 3.83, 4 Sb 4.04
Cr (0.5000, 0.5000, 0.5000)  2 Sb 2.55, 4 I 2.86
Sb (0.5000, 0.5000, 0.0000)  2 Cr 2.55
I (0.0000, 0.5000, 0.5000)  2 Cr 2.86
I (0.5000, 0.0000, 0.5000)  2 Cr 2.86

size of the total moment: 2.36 μB per formula unit
E_form (uncorrected): -493 meV per atom



> size of the total moment of number 3 (RbCrSbI2)?

2.36 μB per formula unit



> What is the size of the total moment in the second record?

0.00 μB per formula unit